Entry 1:
## Ta2RuW (PBE)

Data for crystalline Ta2RuW at its relaxed geometry.

Results
The space group is Immm. Its crystal system is orthorhombic.

The structure in extended XYZ format:
```
8
Lattice="3.1898 0.0000 0.0000 0.0000 4.6523 0.0000 0.0000 0.0000 8.9167" Properties=species:S:1:pos:R:3 pbc="T T T"
Ta 0.0000 0.0000 2.2241
Ta 0.0000 0.0000 6.6926
Ta 1.5949 2.3262 2.2343
Ta 1.5949 2.3262 6.6825
Ru 0.0000 2.3262 4.4584
Ru 1.5949 0.0000 0.0000
W 0.0000 2.3262 0.0000
W 1.5949 0.0000 4.4584
```

***

Entry 2:
## Ta2RuW (PBE)

Data for crystalline Ta2RuW at its relaxed geometry.

Results
The space group is Pmmm. Its crystal system is orthorhombic.

The structure in extended XYZ format:
```
4
Lattice="3.1950 0.0000 0.0000 0.0000 4.4514 0.0000 0.0000 0.0000 4.6423" Properties=species:S:1:pos:R:3 pbc="T T T"
Ta 0.0000 0.0000 0.0000
Ta 1.5975 0.0000 2.3211
Ru 0.0000 2.2257 2.3211
W 1.5975 2.2257 0.0000
```

***

no.,E_tot (eV for the cell shown),energy relative to the elements (kJ/mol of formula units)
1,-92.68,-39
2,-46.38,-43